[1]
AlSi at its PBEsol-relaxed geometry, computed with meta-GGA SCAN.

Calculated values
crystal system: hexagonal
electronic total energy: -8.56 eV/atom
spin magnetization: 0.00 μB per cell
formation energy (no corrections): 0.3267 eV per atom

```
data_AlSi
_cell_length_a 2.7185
_cell_length_b 2.7185
_cell_length_c 4.7471
_cell_angle_alpha 90.00
_cell_angle_beta 90.00
_cell_angle_gamma 120.00
_space_group_name_H-M_alt 'P -6 m 2'
_space_group_IT_number 187
_space_group_name_Hall 'P -6 2'
loop_
_atom_site_label
_atom_site_type_symbol
_atom_site_fract_x
_atom_site_fract_y
_atom_site_fract_z
Al1 Al 0.0000 0.0000 0.0000
Si1 Si 0.3333 0.6667 0.5000
```

[2]
Sm12Al7Si at its PBEsol-relaxed geometry, computed with meta-GGA SCAN.

Calculated values
crystal system: tetragonal
electronic total energy: -30.27 eV/atom
spin magnetization: 0.00 μB per cell
formation energy (no corrections): -0.3872 eV per atom

```
data_Sm12Al7Si
_cell_length_a 11.672
_cell_length_b 11.672
_cell_length_c 15.486
_cell_angle_alpha 90.00
_cell_angle_beta 90.00
_cell_angle_gamma 90.00
_space_group_name_H-M_alt 'I 4/m c m'
_space_group_IT_number 140
_space_group_name_Hall '-I 4 2c'
loop_
_atom_site_label
_atom_site_type_symbol
_atom_site_fract_x
_atom_site_fract_y
_atom_site_fract_z
Sm1 Sm 0.000 0.500 0.150
Sm2 Sm 0.063 0.197 0.136
Sm3 Sm 0.171 0.329 0.500
Al1 Al 0.000 0.000 0.000
Al2 Al 0.118 0.382 0.000
Al3 Al 0.179 0.321 0.295
Si1 Si 0.000 0.000 0.250
```

[3]
SmAlSi at its PBEsol-relaxed geometry, computed with meta-GGA SCAN.

Calculated values
crystal system: tetragonal
electronic total energy: -21.44 eV/atom
spin magnetization: 0.00 μB per cell
formation energy (no corrections): -0.7075 eV per atom

```
data_SmAlSi
_cell_length_a 4.125
_cell_length_b 4.125
_cell_length_c 14.469
_cell_angle_alpha 90.00
_cell_angle_beta 90.00
_cell_angle_gamma 90.00
_space_group_name_H-M_alt 'I 41 m d'
_space_group_IT_number 109
_space_group_name_Hall 'I 4bw -2'
loop_
_atom_site_label
_atom_site_type_symbol
_atom_site_fract_x
_atom_site_fract_y
_atom_site_fract_z
Sm1 Sm 0.000 0.000 0.000
Al1 Al 0.000 0.000 0.416
Si1 Si 0.000 0.000 0.581
```

[4]
AlSi3Sn at its PBEsol-relaxed geometry, computed with meta-GGA SCAN.

Calculated values
crystal system: cubic
electronic total energy: -13.15 eV/atom
spin magnetization: 0.00 μB per cell
formation energy (no corrections): 1.5978 eV per atom

```
data_AlSi3Sn
_cell_length_a 5.061
_cell_length_b 5.061
_cell_length_c 5.061
_cell_angle_alpha 90.00
_cell_angle_beta 90.00
_cell_angle_gamma 90.00
_space_group_name_H-M_alt 'P m -3 m'
_space_group_IT_number 221
_space_group_name_Hall '-P 4 2 3'
loop_
_atom_site_label
_atom_site_type_symbol
_atom_site_fract_x
_atom_site_fract_y
_atom_site_fract_z
Al1 Al 0.000 0.000 0.000
Si1 Si 0.000 0.500 0.500
Sn1 Sn 0.500 0.500 0.500
```

[5]
AlZn2SiSn at its PBEsol-relaxed geometry, computed with meta-GGA SCAN.

Calculated values
crystal system: tetragonal
electronic total energy: -15.46 eV/atom
spin magnetization: 0.00 μB per cell
formation energy (no corrections): 0.6802 eV per atom

```
data_AlZn2SiSn
_cell_length_a 4.763
_cell_length_b 4.763
_cell_length_c 4.789
_cell_angle_alpha 90.00
_cell_angle_beta 90.00
_cell_angle_gamma 90.00
_space_group_name_H-M_alt 'P 4/m m m'
_space_group_IT_number 123
_space_group_name_Hall '-P 4 2'
loop_
_atom_site_label
_atom_site_type_symbol
_atom_site_fract_x
_atom_site_fract_y
_atom_site_fract_z
Al1 Al 0.000 0.000 0.000
Zn1 Zn 0.000 0.500 0.000
Si1 Si 0.000 0.000 0.500
Sn1 Sn 0.500 0.500 0.500
```

[6]
SrAlSi2 at its PBEsol-relaxed geometry, computed with meta-GGA SCAN.

Calculated values
crystal system: tetragonal
electronic total energy: -12.33 eV/atom
spin magnetization: 0.00 μB per cell
formation energy (no corrections): 0.1882 eV per atom

```
data_SrAlSi2
_cell_length_a 4.399
_cell_length_b 4.399
_cell_length_c 4.122
_cell_angle_alpha 90.00
_cell_angle_beta 90.00
_cell_angle_gamma 90.00
_space_group_name_H-M_alt 'P 4/m m m'
_space_group_IT_number 123
_space_group_name_Hall '-P 4 2'
loop_
_atom_site_label
_atom_site_type_symbol
_atom_site_fract_x
_atom_site_fract_y
_atom_site_fract_z
Sr1 Sr 0.000 0.000 0.000
Al1 Al 0.500 0.500 0.000
Si1 Si 0.000 0.500 0.500
```

[7]
SrAlSi2 at its PBEsol-relaxed geometry, computed with meta-GGA SCAN.

Calculated values
crystal system: tetragonal
electronic total energy: -12.49 eV/atom
spin magnetization: 0.00 μB per cell
formation energy (no corrections): 0.0284 eV per atom

```
data_SrAlSi2
_cell_length_a 3.439
_cell_length_b 3.439
_cell_length_c 6.870
_cell_angle_alpha 90.00
_cell_angle_beta 90.00
_cell_angle_gamma 90.00
_space_group_name_H-M_alt 'P 4 m m'
_space_group_IT_number 99
_space_group_name_Hall 'P 4 -2'
loop_
_atom_site_label
_atom_site_type_symbol
_atom_site_fract_x
_atom_site_fract_y
_atom_site_fract_z
Sr1 Sr 0.000 0.000 0.000
Al1 Al 0.500 0.500 0.332
Si1 Si 0.000 0.000 0.534
Si2 Si 0.500 0.500 0.687
```

[8]
SrAl2Si at its PBEsol-relaxed geometry, computed with meta-GGA SCAN.

Calculated values
crystal system: orthorhombic
electronic total energy: -12.03 eV/atom
spin magnetization: 0.00 μB per cell
formation energy (no corrections): -0.0836 eV per atom

```
data_SrAl2Si
_cell_length_a 3.434
_cell_length_b 3.616
_cell_length_c 6.873
_cell_angle_alpha 90.00
_cell_angle_beta 90.00
_cell_angle_gamma 90.00
_space_group_name_H-M_alt 'P m m 2'
_space_group_IT_number 25
_space_group_name_Hall 'P 2 -2'
loop_
_atom_site_label
_atom_site_type_symbol
_atom_site_fract_x
_atom_site_fract_y
_atom_site_fract_z
Sr1 Sr 0.000 0.000 0.000
Al1 Al 0.000 0.000 0.527
Al2 Al 0.500 0.500 0.327
Si1 Si 0.500 0.500 0.689
```

[9]
TaAl2Si at its PBEsol-relaxed geometry, computed with meta-GGA SCAN.

Calculated values
crystal system: orthorhombic
electronic total energy: -23.05 eV/atom
spin magnetization: 0.00 μB per cell
formation energy (no corrections): -0.0284 eV per atom

```
data_TaAl2Si
_cell_length_a 3.682
_cell_length_b 4.193
_cell_length_c 8.178
_cell_angle_alpha 90.00
_cell_angle_beta 90.00
_cell_angle_gamma 90.00
_space_group_name_H-M_alt 'C m m 2'
_space_group_IT_number 35
_space_group_name_Hall 'C 2 -2'
loop_
_atom_site_label
_atom_site_type_symbol
_atom_site_fract_x
_atom_site_fract_y
_atom_site_fract_z
Ta1 Ta 0.000 0.000 0.000
Al1 Al 0.000 0.000 0.486
Al2 Al 0.000 0.500 0.745
Si1 Si 0.000 0.500 0.239
```

[10]
TaAlSi at its PBEsol-relaxed geometry, computed with meta-GGA SCAN.

Calculated values
crystal system: orthorhombic
electronic total energy: -28.08 eV/atom
spin magnetization: 0.00 μB per cell
formation energy (no corrections): 0.0323 eV per atom

```
data_TaAlSi
_cell_length_a 3.614
_cell_length_b 4.221
_cell_length_c 12.278
_cell_angle_alpha 90.00
_cell_angle_beta 90.00
_cell_angle_gamma 90.00
_space_group_name_H-M_alt 'F m m 2'
_space_group_IT_number 42
_space_group_name_Hall 'F 2 -2'
loop_
_atom_site_label
_atom_site_type_symbol
_atom_site_fract_x
_atom_site_fract_y
_atom_site_fract_z
Ta1 Ta 0.000 0.000 0.000
Al1 Al 0.000 0.000 0.329
Si1 Si 0.000 0.000 0.659
```

[11]
TaAlSi2 at its PBEsol-relaxed geometry, computed with meta-GGA SCAN.

Calculated values
crystal system: monoclinic
electronic total energy: -23.51 eV/atom
spin magnetization: 0.00 μB per cell
formation energy (no corrections): 0.0849 eV per atom

```
data_TaAlSi2
_cell_length_a 5.494
_cell_length_b 7.763
_cell_length_c 2.846
_cell_angle_alpha 90.00
_cell_angle_beta 99.39
_cell_angle_gamma 90.00
_space_group_name_H-M_alt 'C 1 2/m 1'
_space_group_IT_number 12
_space_group_name_Hall '-C 2y'
loop_
_atom_site_label
_atom_site_type_symbol
_atom_site_fract_x
_atom_site_fract_y
_atom_site_fract_z
Ta1 Ta 0.000 0.000 0.000
Al1 Al 0.000 0.500 0.000
Si1 Si 0.250 0.250 0.500
```

[12]
TaAlSi at its PBEsol-relaxed geometry, computed with meta-GGA SCAN.

Calculated values
crystal system: trigonal
electronic total energy: -28.44 eV/atom
spin magnetization: 0.00 μB per cell
formation energy (no corrections): -0.3195 eV per atom

```
data_TaAlSi
_cell_length_a 4.8587
_cell_length_b 4.8587
_cell_length_c 6.7263
_cell_angle_alpha 90.00
_cell_angle_beta 90.00
_cell_angle_gamma 120.00
_space_group_name_H-M_alt 'P 32 1 2'
_space_group_IT_number 153
_space_group_name_Hall 'P 32 2 (0 0 2)'
loop_
_atom_site_label
_atom_site_type_symbol
_atom_site_fract_x
_atom_site_fract_y
_atom_site_fract_z
Ta1 Ta 0.1848 0.3696 0.3333
Al1 Al 0.3152 0.1576 0.0000
Si1 Si 0.5131 0.0263 0.3333
```